{
  "formula": "K2BH4",
  "functional": "PBE",
  "state": "optimized geometry",
  "lattice": [[8.337, 0.000, -1.346], [0.000, 4.678, 0.000], [-4.688, 0.000, 8.313]],
  "species": ["H", "H", "H", "H", "H", "H", "H", "H", "K", "K", "K", "K", "B", "B"],
  "frac_coords": [[0.642, 0.035, 0.698], [0.851, 0.250, 0.702], [0.358, 0.965, 0.302], [0.864, 0.250, 0.920], [0.136, 0.750, 0.080], [0.642, 0.465, 0.698], [0.149, 0.750, 0.298], [0.358, 0.535, 0.302], [0.247, 0.250, 0.496], [0.753, 0.750, 0.504], [0.255, 0.250, 0.000], [0.745, 0.750, 0.000], [0.750, 0.250, 0.755], [0.250, 0.750, 0.245]],
  "e_above_lowest_polymorph_mev_per_atom": 0.0,
  "density_g_cm3": 1.0,
  "dos_ef_per_ev_atom": 0.19,
  "magmom_total_mub_per_fu": 0.00
}